# Cs3In2Pb4 GGA-PBE relaxed
# E_tot	-96.4	eV for the cell shown
# formation energy	-0.1369	eV/atom
data_Cs3In2Pb4
_chemical_formula_sum 'Cs12 In8 Pb16'
_cell_length_a 18.089
_cell_length_b 12.031
_cell_length_c 7.836
_cell_angle_alpha 90.00
_cell_angle_beta 112.27
_cell_angle_gamma 90.00
_space_group_name_H-M_alt 'C 1 2/c 1'
_space_group_IT_number 15
loop_
_space_group_symop_operation_xyz
'x,y,z'
'-x,-y,-z'
'-x,y,-z+1/2'
'x,-y,z+1/2'
'x+1/2,y+1/2,z'
'-x+1/2,-y+1/2,-z'
'-x+1/2,y+1/2,-z+1/2'
'x+1/2,-y+1/2,z+1/2'
loop_
_atom_site_label
_atom_site_type_symbol
_atom_site_fract_x
_atom_site_fract_y
_atom_site_fract_z
Cs1 Cs 0.000 0.008 0.250
Cs2 Cs 0.104 0.387 0.105
In1 In 0.215 0.131 0.429
Pb1 Pb 0.136 0.267 0.652
Pb2 Pb 0.210 0.116 0.036


# LiCeAg GGA-PBE relaxed
# E_tot	-21.4	eV for the cell shown
# ΔE to the lowest computed polymorph	41	meV/atom
# formation energy	-0.0055	eV/atom
data_LiCeAg
_chemical_formula_sum 'Li2 Ce2 Ag2'
_cell_length_a 3.395
_cell_length_b 3.395
_cell_length_c 11.401
_cell_angle_alpha 90.00
_cell_angle_beta 90.00
_cell_angle_gamma 90.00
_space_group_name_H-M_alt 'I 4 m m'
_space_group_IT_number 107
_space_group_name_Hall 'I 4 -2'
loop_
_atom_site_label
_atom_site_type_symbol
_atom_site_fract_x
_atom_site_fract_y
_atom_site_fract_z
Li1 Li 0.000 0.000 0.000
Ce1 Ce 0.000 0.000 0.705
Ag1 Ag 0.000 0.000 0.395


# Ba2Li3TaN4 GGA-PBE relaxed
# formation energy without anion corrections	-8.46	eV per formula unit
# E_tot	-252.8	eV for the cell shown
data_Ba2Li3TaN4
_chemical_formula_sum 'Ba8 Li12 Ta4 N16'
_cell_length_a 11.356
_cell_length_b 5.725
_cell_length_c 11.148
_cell_angle_alpha 90.00
_cell_angle_beta 118.82
_cell_angle_gamma 90.00
_space_group_name_H-M_alt 'C 1 2/c 1'
_space_group_IT_number 15
loop_
_space_group_symop_operation_xyz
'x,y,z'
'-x,-y,-z'
'-x,y,-z+1/2'
'x,-y,z+1/2'
'x+1/2,y+1/2,z'
'-x+1/2,-y+1/2,-z'
'-x+1/2,y+1/2,-z+1/2'
'x+1/2,-y+1/2,z+1/2'
loop_
_atom_site_label
_atom_site_type_symbol
_atom_site_fract_x
_atom_site_fract_y
_atom_site_fract_z
Ba1 Ba 0.152 0.222 0.110
Li1 Li 0.000 0.386 0.250
Li2 Li 0.179 0.288 0.546
Ta1 Ta 0.000 0.135 0.750
N1 N 0.078 0.337 0.663
N2 N 0.138 0.071 0.387


# Be2CoHPd GGA-PBE relaxed
# E_tot	-24.3	eV for the cell shown
data_Be2CoHPd
_chemical_formula_sum 'Be2 Co1 H1 Pd1'
_cell_length_a 3.777
_cell_length_b 3.777
_cell_length_c 3.046
_cell_angle_alpha 90.00
_cell_angle_beta 90.00
_cell_angle_gamma 90.00
_space_group_name_H-M_alt 'P 4/m m m'
_space_group_IT_number 123
_space_group_name_Hall '-P 4 2'
loop_
_atom_site_label
_atom_site_type_symbol
_atom_site_fract_x
_atom_site_fract_y
_atom_site_fract_z
Be1 Be 0.000 0.500 0.000
Co1 Co 0.000 0.000 0.500
H1 H 0.000 0.000 0.000
Pd1 Pd 0.500 0.500 0.500


# CaMg4Cu2 GGA-PBE relaxed
# E_tot	-34.4	eV for the cell shown
# ΔE to the lowest computed polymorph	0	meV/atom
# formation energy	-0.0912	eV/atom
data_CaMg4Cu2
_chemical_formula_sum 'Ca2 Mg8 Cu4'
_cell_length_a 8.319
_cell_length_b 8.319
_cell_length_c 4.307
_cell_angle_alpha 90.00
_cell_angle_beta 90.00
_cell_angle_gamma 90.00
_space_group_name_H-M_alt 'P 42/m n m'
_space_group_IT_number 136
_space_group_name_Hall '-P 4n 2n'
loop_
_atom_site_label
_atom_site_type_symbol
_atom_site_fract_x
_atom_site_fract_y
_atom_site_fract_z
Ca1 Ca 0.000 0.000 0.000
Mg1 Mg 0.087 0.335 0.500
Cu1 Cu 0.219 0.781 0.500


# NbCr3Au GGA-PBE relaxed
# E_tot	-34.1	eV for the cell shown
# ΔE to the lowest computed polymorph	0	meV/atom
# formation energy	1.6245	eV/atom
data_NbCr3Au
_chemical_formula_sum 'Nb1 Cr3 Au1'
_cell_length_a 4.854
_cell_length_b 4.854
_cell_length_c 4.854
_cell_angle_alpha 90.00
_cell_angle_beta 90.00
_cell_angle_gamma 90.00
_space_group_name_H-M_alt 'P m -3 m'
_space_group_IT_number 221
_space_group_name_Hall '-P 4 2 3'
loop_
_atom_site_label
_atom_site_type_symbol
_atom_site_fract_x
_atom_site_fract_y
_atom_site_fract_z
Nb1 Nb 0.000 0.000 0.000
Cr1 Cr 0.000 0.500 0.500
Au1 Au 0.500 0.500 0.500


# IrPdC2 GGA-PBE relaxed
# E_tot	-100.9	eV for the cell shown
# ΔE to the lowest computed polymorph	1021	meV/atom
# formation energy	1.8206	eV/atom
data_IrPdC2
_chemical_formula_sum 'Ir4 Pd4 C8'
_cell_length_a 5.508
_cell_length_b 5.508
_cell_length_c 5.508
_cell_angle_alpha 90.00
_cell_angle_beta 90.00
_cell_angle_gamma 90.00
_space_group_name_H-M_alt 'F m -3 m'
_space_group_IT_number 225
_space_group_name_Hall '-F 4 2 3'
loop_
_atom_site_label
_atom_site_type_symbol
_atom_site_fract_x
_atom_site_fract_y
_atom_site_fract_z
Ir1 Ir 0.000 0.000 0.000
Pd1 Pd 0.000 0.000 0.500
C1 C 0.250 0.250 0.250


# LiCaCo4 GGA-PBE relaxed
# E_tot	-126.3	eV for the cell shown
# formation energy	0.1276	eV/atom
data_LiCaCo4
_chemical_formula_sum 'Li4 Ca4 Co16'
_cell_length_a 6.980
_cell_length_b 6.980
_cell_length_c 6.980
_cell_angle_alpha 90.00
_cell_angle_beta 90.00
_cell_angle_gamma 90.00
_space_group_name_H-M_alt 'F -4 3 m'
_space_group_IT_number 216
_space_group_name_Hall 'F -4 2 3'
loop_
_atom_site_label
_atom_site_type_symbol
_atom_site_fract_x
_atom_site_fract_y
_atom_site_fract_z
Li1 Li 0.000 0.000 0.000
Ca1 Ca 0.250 0.250 0.250
Co1 Co 0.126 0.126 0.626


# TmCd14In GGA-PBE relaxed
# E_tot	-20.6	eV for the cell shown
# formation energy	-0.0336	eV/atom
data_TmCd14In
_chemical_formula_sum 'Tm1 Cd14 In1'
_cell_length_a 6.578
_cell_length_b 6.578
_cell_length_c 8.619
_cell_angle_alpha 90.00
_cell_angle_beta 90.00
_cell_angle_gamma 90.00
_space_group_name_H-M_alt 'P 4/m m m'
_space_group_IT_number 123
_space_group_name_Hall '-P 4 2'
loop_
_atom_site_label
_atom_site_type_symbol
_atom_site_fract_x
_atom_site_fract_y
_atom_site_fract_z
Tm1 Tm 0.000 0.000 0.000
Cd1 Cd 0.000 0.000 0.500
Cd2 Cd 0.000 0.500 0.000
Cd3 Cd 0.000 0.500 0.500
Cd4 Cd 0.249 0.249 0.257
Cd5 Cd 0.500 0.500 0.500
In1 In 0.500 0.500 0.000


# ScCoRe2 GGA-PBE relaxed
# E_tot	-76.4	eV for the cell shown
# ΔE to the lowest computed polymorph	110	meV/atom
# formation energy	0.0335	eV/atom
data_ScCoRe2
_chemical_formula_sum 'Sc2 Co2 Re4'
_cell_length_a 3.086
_cell_length_b 4.343
_cell_length_c 9.064
_cell_angle_alpha 90.00
_cell_angle_beta 90.00
_cell_angle_gamma 90.00
_space_group_name_H-M_alt 'I m m m'
_space_group_IT_number 71
_space_group_name_Hall '-I 2 2'
loop_
_atom_site_label
_atom_site_type_symbol
_atom_site_fract_x
_atom_site_fract_y
_atom_site_fract_z
Sc1 Sc 0.000 0.000 0.000
Co1 Co 0.000 0.000 0.500
Re1 Re 0.000 0.500 0.241


# Co4TcNi GGA-PBE relaxed
# E_tot	-173.4	eV for the cell shown
# ΔE to the lowest computed polymorph	120	meV/atom
# formation energy	0.2031	eV/atom
data_Co4TcNi
_chemical_formula_sum 'Co16 Tc4 Ni4'
_cell_length_a 6.493
_cell_length_b 6.493
_cell_length_c 6.493
_cell_angle_alpha 90.00
_cell_angle_beta 90.00
_cell_angle_gamma 90.00
_space_group_name_H-M_alt 'F -4 3 m'
_space_group_IT_number 216
_space_group_name_Hall 'F -4 2 3'
loop_
_atom_site_label
_atom_site_type_symbol
_atom_site_fract_x
_atom_site_fract_y
_atom_site_fract_z
Co1 Co 0.125 0.125 0.125
Tc1 Tc 0.000 0.000 0.500
Ni1 Ni 0.250 0.250 0.750


# Sc6Tc2Pt GGA-PBE relaxed
# E_tot	-273.0	eV for the cell shown
# formation energy	-0.3865	eV/atom
data_Sc6Tc2Pt
_chemical_formula_sum 'Sc24 Tc8 Pt4'
_cell_length_a 8.924
_cell_length_b 8.928
_cell_length_c 9.263
_cell_angle_alpha 90.00
_cell_angle_beta 90.00
_cell_angle_gamma 90.00
_space_group_name_H-M_alt 'I m m m'
_space_group_IT_number 71
_space_group_name_Hall '-I 2 2'
loop_
_atom_site_label
_atom_site_type_symbol
_atom_site_fract_x
_atom_site_fract_y
_atom_site_fract_z
Sc1 Sc 0.000 0.199 0.164
Sc2 Sc 0.178 0.239 0.500
Sc3 Sc 0.194 0.500 0.239
Tc1 Tc 0.000 0.000 0.374
Tc2 Tc 0.170 0.000 0.000
Pt1 Pt 0.000 0.500 0.000
Pt2 Pt 0.000 0.500 0.500


# Cu2PBr GGA-PBE relaxed
# formation energy without anion corrections	0.25	eV per formula unit
# E_tot	-30.0	eV for the cell shown
# ΔE to the lowest computed polymorph	76	meV/atom
data_Cu2PBr
_chemical_formula_sum 'Cu4 P2 Br2'
_cell_length_a 6.031
_cell_length_b 3.489
_cell_length_c 6.685
_cell_angle_alpha 90.00
_cell_angle_beta 107.11
_cell_angle_gamma 90.00
_space_group_name_H-M_alt 'C 1 2/m 1'
_space_group_IT_number 12
loop_
_space_group_symop_operation_xyz
'x,y,z'
'-x,-y,-z'
'-x,y,-z'
'x,-y,z'
'x+1/2,y+1/2,z'
'-x+1/2,-y+1/2,-z'
'-x+1/2,y+1/2,-z'
'x+1/2,-y+1/2,z'
loop_
_atom_site_label
_atom_site_type_symbol
_atom_site_fract_x
_atom_site_fract_y
_atom_site_fract_z
Cu1 Cu 0.233 0.000 0.203
P1 P 0.000 0.500 0.000
Br1 Br 0.000 0.000 0.500


# HfCuHgTe3 GGA-PBE relaxed
# formation energy without anion corrections	-2.57	eV per formula unit
# E_tot	-52.7	eV for the cell shown
data_HfCuHgTe3
_chemical_formula_sum 'Hf2 Cu2 Hg2 Te6'
_cell_length_a 10.071
_cell_length_b 3.908
_cell_length_c 10.632
_cell_angle_alpha 90.00
_cell_angle_beta 117.67
_cell_angle_gamma 90.00
_space_group_name_H-M_alt 'P 1 21/m 1'
_space_group_IT_number 11
loop_
_space_group_symop_operation_xyz
'x,y,z'
'-x,-y,-z'
'-x,y+1/2,-z'
'x,-y+1/2,z'
loop_
_atom_site_label
_atom_site_type_symbol
_atom_site_fract_x
_atom_site_fract_y
_atom_site_fract_z
Hf1 Hf 0.184 0.250 0.167
Cu1 Cu 0.418 0.750 0.404
Hg1 Hg 0.283 0.750 0.770
Te1 Te 0.039 0.250 0.854
Te2 Te 0.286 0.250 0.469
Te3 Te 0.378 0.750 0.143


# K2TcIr GGA-PBE relaxed
# E_tot	-38.0	eV for the cell shown
# ΔE to the lowest computed polymorph	72	meV/atom
# formation energy	0.6011	eV/atom
data_K2TcIr
_chemical_formula_sum 'K4 Tc2 Ir2'
_cell_length_a 8.331
_cell_length_b 2.873
_cell_length_c 10.008
_cell_angle_alpha 90.00
_cell_angle_beta 91.92
_cell_angle_gamma 90.00
_space_group_name_H-M_alt 'C 1 m 1'
_space_group_IT_number 8
loop_
_space_group_symop_operation_xyz
'x,y,z'
'x,-y,z'
'x+1/2,y+1/2,z'
'x+1/2,-y+1/2,z'
loop_
_atom_site_label
_atom_site_type_symbol
_atom_site_fract_x
_atom_site_fract_y
_atom_site_fract_z
K1 K 0.000 0.000 0.000
K2 K 0.234 0.000 0.564
Tc1 Tc 0.481 0.000 0.321
Ir1 Ir 0.245 0.500 0.238


# TmZn10Au2 GGA-PBE relaxed
# E_tot	-106.5	eV for the cell shown
# formation energy	-0.2190	eV/atom
data_TmZn10Au2
_chemical_formula_sum 'Tm4 Zn40 Au8'
_cell_length_a 8.971
_cell_length_b 10.500
_cell_length_c 9.067
_cell_angle_alpha 90.00
_cell_angle_beta 90.00
_cell_angle_gamma 90.00
_space_group_name_H-M_alt 'C m c m'
_space_group_IT_number 63
_space_group_name_Hall '-C 2c 2'
loop_
_atom_site_label
_atom_site_type_symbol
_atom_site_fract_x
_atom_site_fract_y
_atom_site_fract_z
Tm1 Tm 0.000 0.131 0.250
Zn1 Zn 0.000 0.149 0.606
Zn2 Zn 0.000 0.396 0.080
Zn3 Zn 0.145 0.379 0.750
Zn4 Zn 0.217 0.000 0.000
Zn5 Zn 0.241 0.382 0.250
Au1 Au 0.250 0.250 0.000


# Sr2ZrTlW GGA-PBE relaxed
# E_tot	-19.4	eV for the cell shown
# formation energy	1.5719	eV/atom
data_Sr2ZrTlW
_chemical_formula_sum 'Sr2 Zr1 Tl1 W1'
_cell_length_a 6.039
_cell_length_b 6.039
_cell_length_c 5.492
_cell_angle_alpha 90.00
_cell_angle_beta 90.00
_cell_angle_gamma 90.00
_space_group_name_H-M_alt 'P 4/m m m'
_space_group_IT_number 123
_space_group_name_Hall '-P 4 2'
loop_
_atom_site_label
_atom_site_type_symbol
_atom_site_fract_x
_atom_site_fract_y
_atom_site_fract_z
Sr1 Sr 0.000 0.500 0.000
Zr1 Zr 0.000 0.000 0.500
Tl1 Tl 0.000 0.000 0.000
W1 W 0.500 0.500 0.500


# Cu2NiIr GGA-PBE relaxed
# E_tot	-44.4	eV for the cell shown
# ΔE to the lowest computed polymorph	103	meV/atom
# formation energy	0.1552	eV/atom
data_Cu2NiIr
_chemical_formula_sum 'Cu4 Ni2 Ir2'
_cell_length_a 3.658
_cell_length_b 3.658
_cell_length_c 7.443
_cell_angle_alpha 90.00
_cell_angle_beta 90.00
_cell_angle_gamma 90.00
_space_group_name_H-M_alt 'I 4/m m m'
_space_group_IT_number 139
_space_group_name_Hall '-I 4 2'
loop_
_atom_site_label
_atom_site_type_symbol
_atom_site_fract_x
_atom_site_fract_y
_atom_site_fract_z
Cu1 Cu 0.000 0.500 0.250
Ni1 Ni 0.000 0.000 0.000
Ir1 Ir 0.000 0.000 0.500


# Dy2ErTm5Th GGA-PBE relaxed
# E_tot	-162.6	eV for the cell shown
# formation energy	0.3224	eV/atom
data_Dy2ErTm5Th
_chemical_formula_sum 'Dy8 Er4 Tm20 Th4'
_cell_length_a 8.717
_cell_length_b 8.717
_cell_length_c 14.748
_cell_angle_alpha 90.00
_cell_angle_beta 90.00
_cell_angle_gamma 90.00
_space_group_name_H-M_alt 'I 4/m c m'
_space_group_IT_number 140
_space_group_name_Hall '-I 4 2c'
loop_
_atom_site_label
_atom_site_type_symbol
_atom_site_fract_x
_atom_site_fract_y
_atom_site_fract_z
Dy1 Dy 0.114 0.386 0.000
Er1 Er 0.000 0.500 0.250
Tm1 Tm 0.000 0.000 0.000
Tm2 Tm 0.209 0.291 0.364
Th1 Th 0.000 0.000 0.250


# Nd4HgAu7 GGA-PBE relaxed
# E_tot	-98.6	eV for the cell shown
# formation energy	-0.5823	eV/atom
data_Nd4HgAu7
_chemical_formula_sum 'Nd8 Hg2 Au14'
_cell_length_a 14.750
_cell_length_b 5.192
_cell_length_c 9.387
_cell_angle_alpha 90.00
_cell_angle_beta 122.11
_cell_angle_gamma 90.00
_space_group_name_H-M_alt 'C 1 2/m 1'
_space_group_IT_number 12
loop_
_space_group_symop_operation_xyz
'x,y,z'
'-x,-y,-z'
'-x,y,-z'
'x,-y,z'
'x+1/2,y+1/2,z'
'-x+1/2,-y+1/2,-z'
'-x+1/2,y+1/2,-z'
'x+1/2,-y+1/2,z'
loop_
_atom_site_label
_atom_site_type_symbol
_atom_site_fract_x
_atom_site_fract_y
_atom_site_fract_z
Nd1 Nd 0.063 0.000 0.248
Nd2 Nd 0.231 0.000 0.763
Hg1 Hg 0.000 0.500 0.500
Au1 Au 0.000 0.000 0.500
Au2 Au 0.095 0.500 0.864
Au3 Au 0.172 0.000 0.049
Au4 Au 0.193 0.500 0.481